(1)
## Cs12Rb6Hg (PBE-GGA)

Data for a geometry-optimized Cs12Rb6Hg structure.

Cell: 17.7331 17.7331 21.8125 Å, 90.00 90.00 120.00°
Space group R-3 (No. 148, hexagonal axes)
Symmetry-distinct sites (fractional):
Cs 0.0445 0.5912 0.2150 x18
Cs 0.0677 0.2093 0.9061 x18
Rb 0.0532 0.8690 0.3047 x18
Hg 0.0000 0.0000 0.0000 x3

Formation enthalpy at 0 K, eV per atom: 0.003

---

(2)
## CaCr2BOs (PBE-GGA)

Data for a geometry-optimized CaCr2BOs structure.

Cell: 4.7788 4.7788 4.2032 Å, 90.00 90.00 90.00°
Space group P4/mmm (No. 123)
Symmetry-distinct sites (fractional):
Ca 0.0000 0.0000 0.0000 x1
Cr 0.0000 0.5000 0.5000 x2
B 0.5000 0.5000 0.0000 x1
Os 0.5000 0.5000 0.5000 x1

Formation enthalpy at 0 K, eV per atom: 0.767

---

(3)
## CaTb5Dy6 (PBE-GGA)

Data for a geometry-optimized CaTb5Dy6 structure.

Cell: 11.8451 10.7194 6.1868 Å, 90.00 100.03 90.00°
Space group C2/m (No. 12)
Symmetry-distinct sites (fractional):
Ca 0.0000 0.0000 0.0000 x2
Tb 0.0000 0.1712 0.5000 x4
Tb 0.0000 0.3388 0.0000 x4
Tb 0.0000 0.5000 0.5000 x2
Dy 0.2456 0.3303 0.7475 x8
Dy 0.2480 0.5000 0.2591 x4

Formation enthalpy at 0 K, eV per atom: 0.045

---

(4)
## TaZnIr (PBE-GGA)

Data for a geometry-optimized TaZnIr structure.

Cell: 2.8347 2.8347 6.8203 Å, 90.00 90.00 120.00°
Space group P3m1 (No. 156)
Symmetry-distinct sites (fractional):
Ta 0.0000 0.0000 0.0000 x1
Zn 0.6667 0.3333 0.3518 x1
Ir 0.3333 0.6667 0.6752 x1

Formation enthalpy at 0 K, eV per atom: -0.139

---

(5)
## PaBeGaCu (PBE-GGA)

Data for a geometry-optimized PaBeGaCu structure.

Cell: 6.4009 6.4009 6.4009 Å, 90.00 90.00 90.00°
Space group F-43m (No. 216)
Symmetry-distinct sites (fractional):
Pa 0.0000 0.0000 0.0000 x4
Be 0.2500 0.2500 0.2500 x4
Ga 0.0000 0.0000 0.5000 x4
Cu 0.2500 0.2500 0.7500 x4

Formation enthalpy at 0 K, eV per atom: 0.018

---

(6)
## La2TcGeC (PBE-GGA)

Data for a geometry-optimized La2TcGeC structure.

Cell: 5.7716 5.7716 3.6934 Å, 90.00 90.00 90.00°
Space group P4/mmm (No. 123)
Symmetry-distinct sites (fractional):
La 0.0000 0.5000 0.0000 x2
Tc 0.0000 0.0000 0.5000 x1
Ge 0.5000 0.5000 0.0000 x1
C 0.5000 0.5000 0.5000 x1

Formation enthalpy at 0 K, eV per atom: 1.032

---

(7)
## SmLuSnAu (PBE-GGA)

Data for a geometry-optimized SmLuSnAu structure.

Cell: 7.3915 7.3915 7.3915 Å, 90.00 90.00 90.00°
Space group F-43m (No. 216)
Symmetry-distinct sites (fractional):
Sm 0.0000 0.0000 0.0000 x4
Lu 0.0000 0.0000 0.5000 x4
Sn 0.2500 0.2500 0.2500 x4
Au 0.2500 0.2500 0.7500 x4

Formation enthalpy at 0 K, eV per atom: -0.685

---

(8)
## In2SiHg (PBE-GGA)

Data for a geometry-optimized In2SiHg structure.

Cell: 7.7988 3.2040 7.9045 Å, 90.00 93.56 90.00°
Space group C2/m (No. 12)
Symmetry-distinct sites (fractional):
In 0.2357 0.0000 0.2153 x4
Si 0.0000 0.5000 0.0000 x2
Hg 0.0000 0.0000 0.5000 x2

Formation energy without anion corrections, meV per atom: 209

---

(9)
## MgSc2Ag (PBE-GGA)

Data for a geometry-optimized MgSc2Ag structure.

Cell: 3.2456 3.2456 29.4760 Å, 90.00 90.00 120.00°
Space group R-3m (No. 166, hexagonal axes)
Symmetry-distinct sites (fractional):
Mg 0.0000 0.0000 0.0000 x3
Sc 0.0000 0.0000 0.2461 x6
Ag 0.0000 0.0000 0.5000 x3

Formation enthalpy at 0 K, eV per atom: 0.003

---

(10)
## RbCrCl3 (PBE-GGA)

Data for a geometry-optimized RbCrCl3 structure.

Cell: 6.8185 7.1287 7.8121 Å, 63.70 77.30 71.59°
Space group P1 (No. 1)
Symmetry-distinct sites (fractional):
Rb 0.0000 0.0000 0.0000 x1
Rb 0.3669 0.5332 0.6639 x1
Cr 0.0444 0.3274 0.3265 x1
Cr 0.3214 0.2058 0.3373 x1
Cl 0.3839 0.5342 0.2328 x1
Cl 0.3997 0.0348 0.6443 x1
Cl 0.4670 0.1069 0.0903 x1
Cl 0.8993 0.4261 0.5736 x1
Cl 0.9668 0.4987 0.0193 x1
Cl 0.9835 0.9982 0.4311 x1

Formation energy without anion corrections, meV per atom: -1243

---

(11)
## GdSnBiPb (PBE-GGA)

Data for a geometry-optimized GdSnBiPb structure.

Cell: 7.8455 7.8455 7.8455 Å, 90.00 90.00 90.00°
Space group F-43m (No. 216)
Symmetry-distinct sites (fractional):
Gd 0.0000 0.0000 0.0000 x4
Sn 0.2500 0.2500 0.2500 x4
Bi 0.2500 0.2500 0.7500 x4
Pb 0.0000 0.0000 0.5000 x4

Formation enthalpy at 0 K, eV per atom: -0.244

---

(12)
## Rb2BaTeI6 (PBE-GGA)

Data for a geometry-optimized Rb2BaTeI6 structure.

Cell: 9.6093 9.6093 12.5936 Å, 90.00 90.00 90.00°
Space group I4/mmm (No. 139)
Symmetry-distinct sites (fractional):
Rb 0.0000 0.5000 0.2500 x4
Ba 0.0000 0.0000 0.0000 x2
Te 0.0000 0.0000 0.5000 x2
I 0.0000 0.0000 0.2695 x4
I 0.2478 0.2478 0.0000 x8

Formation energy without anion corrections, meV per atom: -945

---

(13)
## LiScTc2O8 (PBE-GGA)

Data for a geometry-optimized LiScTc2O8 structure.

Cell: 5.8122 5.8122 6.0197 Å, 90.00 90.00 120.00°
Space group P-3m1 (No. 164)
Symmetry-distinct sites (fractional):
Li 0.0000 0.0000 0.0000 x1
Sc 0.0000 0.0000 0.5000 x1
Tc 0.3333 0.6667 0.8094 x2
O 0.1620 0.3240 0.7203 x6
O 0.3333 0.6667 0.0968 x2

Formation energy without anion corrections, meV per atom: -1824

---

(14)
## Pr5NdHo6 (PBE-GGA)

Data for a geometry-optimized Pr5NdHo6 structure.

Cell: 6.2870 10.8880 11.8451 Å, 90.00 100.16 90.00°
Space group C2/m (No. 12)
Symmetry-distinct sites (fractional):
Pr 0.0000 0.0000 0.0000 x2
Pr 0.0000 0.1667 0.5000 x4
Pr 0.0000 0.3333 0.0000 x4
Nd 0.0000 0.5000 0.5000 x2
Ho 0.2494 0.3334 0.7498 x8
Ho 0.2496 0.0000 0.7498 x4

Formation enthalpy at 0 K, eV per atom: 0.012

---

(15)
## Mg2CoMo (PBE-GGA)

Data for a geometry-optimized Mg2CoMo structure.

Cell: 3.1438 4.3898 4.5557 Å, 90.00 90.00 90.00°
Space group Pmmm (No. 47)
Symmetry-distinct sites (fractional):
Mg 0.0000 0.0000 0.0000 x1
Mg 0.5000 0.5000 0.0000 x1
Co 0.0000 0.5000 0.5000 x1
Mo 0.5000 0.0000 0.5000 x1

Formation enthalpy at 0 K, eV per atom: 0.396

---

(16)
## Mn2TcCl (PBE-GGA)

Data for a geometry-optimized Mn2TcCl structure.

Cell: 6.1207 6.1207 6.1207 Å, 90.00 90.00 90.00°
Space group F-43m (No. 216)
Symmetry-distinct sites (fractional):
Mn 0.0000 0.0000 0.0000 x4
Mn 0.2500 0.2500 0.2500 x4
Tc 0.0000 0.0000 0.5000 x4
Cl 0.2500 0.2500 0.7500 x4

Formation energy without anion corrections, meV per atom: 821

---

(17)
## LiTbAg2F6 (PBE-GGA)

Data for a geometry-optimized LiTbAg2F6 structure.

Cell: 5.7568 5.9299 10.0505 Å, 90.00 123.66 90.00°
Space group P2_1/c (No. 14)
Symmetry-distinct sites (fractional):
Li 0.0000 0.0000 0.0000 x2
Tb 0.5000 0.0000 0.5000 x2
Ag 0.2302 0.0524 0.7500 x4
F 0.1441 0.2147 0.4467 x4
F 0.2276 0.7024 0.4401 x4
F 0.3555 0.0367 0.2455 x4

Formation energy without anion corrections, meV per atom: -2586

---

(18)
## PuHg2Sb (PBE-GGA)

Data for a geometry-optimized PuHg2Sb structure.

Cell: 4.4518 4.4518 5.1423 Å, 90.00 90.00 90.00°
Space group P4/mmm (No. 123)
Symmetry-distinct sites (fractional):
Pu 0.0000 0.0000 0.0000 x1
Hg 0.0000 0.5000 0.5000 x2
Sb 0.5000 0.5000 0.0000 x1

Formation energy without anion corrections, meV per atom: -304

---

(19)
## PrTm4Cu (PBE-GGA)

Data for a geometry-optimized PrTm4Cu structure.

Cell: 3.5001 3.5001 13.6167 Å, 90.00 90.00 90.00°
Space group P4/mmm (No. 123)
Symmetry-distinct sites (fractional):
Pr 0.0000 0.0000 0.0000 x1
Tm 0.0000 0.0000 0.3784 x2
Tm 0.5000 0.5000 0.1906 x2
Cu 0.5000 0.5000 0.5000 x1

Formation enthalpy at 0 K, eV per atom: -0.054

---

(20)
## TmSn4Hg (PBE-GGA)

Data for a geometry-optimized TmSn4Hg structure.

Cell: 8.7037 8.7037 8.7037 Å, 90.00 90.00 90.00°
Space group F-43m (No. 216)
Symmetry-distinct sites (fractional):
Tm 0.0000 0.0000 0.0000 x4
Sn 0.1251 0.1251 0.6251 x16
Hg 0.2500 0.2500 0.2500 x4

Formation enthalpy at 0 K, eV per atom: -0.074

---

(21)
## Ce4Zn3Au (PBE-GGA)

Data for a geometry-optimized Ce4Zn3Au structure.

Cell: 3.7182 3.7182 13.8666 Å, 90.00 90.00 90.00°
Space group P4/mmm (No. 123)
Symmetry-distinct sites (fractional):
Ce 0.0000 0.0000 0.1250 x2
Ce 0.0000 0.0000 0.3707 x2
Zn 0.5000 0.5000 0.0000 x1
Zn 0.5000 0.5000 0.2440 x2
Au 0.5000 0.5000 0.5000 x1

Formation enthalpy at 0 K, eV per atom: -0.278

---

(22)
## ZrMnHg2 (PBE-GGA)

Data for a geometry-optimized ZrMnHg2 structure.

Cell: 4.3252 4.3252 4.3155 Å, 90.00 90.00 90.00°
Space group P4/mmm (No. 123)
Symmetry-distinct sites (fractional):
Zr 0.0000 0.0000 0.0000 x1
Mn 0.5000 0.5000 0.0000 x1
Hg 0.0000 0.5000 0.5000 x2

Formation enthalpy at 0 K, eV per atom: 0.096

---

(23)
## ScUPa2 (PBE-GGA)

Data for a geometry-optimized ScUPa2 structure.

Cell: 4.6642 4.6642 4.3060 Å, 90.00 90.00 90.00°
Space group P4/mmm (No. 123)
Symmetry-distinct sites (fractional):
Sc 0.0000 0.0000 0.0000 x1
U 0.5000 0.5000 0.0000 x1
Pa 0.0000 0.5000 0.5000 x2

Formation enthalpy at 0 K, eV per atom: 0.217

---

(24)
## NaLaSeN2 (PBE-GGA)

Data for a geometry-optimized NaLaSeN2 structure.

Cell: 4.8005 4.8005 5.9946 Å, 90.00 90.00 90.00°
Space group P4/mmm (No. 123)
Symmetry-distinct sites (fractional):
Na 0.0000 0.0000 0.0000 x1
La 0.5000 0.5000 0.5000 x1
Se 0.5000 0.5000 0.0000 x1
N 0.0000 0.5000 0.5000 x2

Formation energy without anion corrections, meV per atom: 338

---

(25)
## LaInRh (PBE-GGA)

Data for a geometry-optimized LaInRh structure.

Cell: 7.7192 4.2237 12.9562 Å, 90.00 90.88 90.00°
Space group P2_1/m (No. 11)
Symmetry-distinct sites (fractional):
La 0.0428 0.2500 0.1253 x2
La 0.1632 0.2500 0.4192 x2
La 0.4480 0.7500 0.7867 x2
In 0.1209 0.2500 0.7031 x2
In 0.3611 0.7500 0.0434 x2
In 0.4980 0.7500 0.4137 x2
Rh 0.2449 0.7500 0.2525 x2
Rh 0.2518 0.2500 0.9167 x2
Rh 0.2566 0.7500 0.5858 x2

Formation enthalpy at 0 K, eV per atom: -0.740